BaTlRh2 after structural relaxation, computed with PBE.

Summary:
Total magnetization   0.00 μB/cell
Energy relative to the elements   23 kJ per mole of atoms

Structure (POSCAR):
```
BaTlRh2
1.0
-2.069 2.069 5.203
2.069 -2.069 5.203
2.069 2.069 -5.203
Ba Tl Rh
1 1 2
Cartesian
0.000 0.000 0.000
0.000 2.069 2.602
2.069 0.000 2.602
0.000 0.000 5.203
```

=====

K12Rb2Hg after structural relaxation, computed with PBE.

Summary:
Total magnetization   0.00 μB/cell
Energy relative to the elements   2 kJ per mole of atoms

Structure (POSCAR):
```
K12Rb2Hg
1.0
8.584 0.000 0.000
0.000 8.584 0.000
0.000 0.000 29.893
K Rb Hg
24 4 2
Cartesian
0.000 8.584 2.080
8.584 0.000 27.813
8.584 4.292 2.080
0.000 4.292 27.813
0.630 4.922 12.934
0.630 7.954 16.960
2.146 2.146 5.411
2.146 2.146 9.704
2.146 2.146 20.189
2.146 2.146 24.482
3.662 4.922 16.960
3.662 7.954 12.934
4.292 0.000 2.080
4.292 8.584 27.813
4.292 4.292 2.080
4.292 4.292 27.813
4.922 0.630 16.960
4.922 3.662 12.934
6.438 6.438 5.411
6.438 6.438 9.704
6.438 6.438 20.189
6.438 6.438 24.482
7.954 0.630 12.934
7.954 3.662 16.960
2.146 6.438 7.463
2.146 6.438 22.431
6.438 2.146 7.463
6.438 2.146 22.431
2.146 6.438 0.000
6.438 2.146 0.000
```

=====

TiFePd5 after structural relaxation, computed with PBE.

Summary:
Total magnetization   4.06 μB/cell
Energy above the most stable polymorph in this dataset   0.000 eV per atom
Energy relative to the elements   -27 kJ per mole of atoms

Structure (POSCAR):
```
TiFePd5
1.0
4.006 0.000 0.000
0.000 4.006 0.000
0.000 0.000 6.897
Ti Fe Pd
1 1 5
Cartesian
0.000 0.000 0.000
2.003 2.003 3.449
0.000 2.003 1.904
0.000 2.003 4.993
2.003 0.000 1.904
2.003 0.000 4.993
2.003 2.003 0.000
```

=====

MnNiPS2 after structural relaxation, computed with PBE.

Summary:
Formation energy without anion corrections   0.464 eV per atom
Total magnetization   4.67 μB/cell
Energy above the most stable polymorph in this dataset   0.000 eV per atom

Structure (POSCAR):
```
MnNiPS2
1.0
4.696 0.000 0.000
0.000 4.696 0.000
0.000 0.000 4.106
Mn Ni P S
1 1 1 2
Cartesian
0.000 0.000 0.000
2.348 2.348 2.053
2.348 2.348 0.000
0.000 2.348 2.053
2.348 0.000 2.053
```

=====

CaPbF2 after structural relaxation, computed with PBE.

Summary:
Formation energy without anion corrections   -1.908 eV per atom
Total magnetization   0.00 μB/cell
Energy above the most stable polymorph in this dataset   0.800 eV per atom

Structure (POSCAR):
```
CaPbF2
1.0
1.818 1.049 8.332
-1.818 1.049 8.332
0.000 -2.099 8.332
Ca Pb F
1 1 2
Cartesian
0.000 0.000 0.000
0.000 0.000 12.498
0.000 0.000 2.119
0.000 0.000 22.877
```

=====

Li2TiSbO after structural relaxation, computed with PBE.

Summary:
Formation energy without anion corrections   -1.331 eV per atom
Total magnetization   0.65 μB/cell

Structure (POSCAR):
```
Li2TiSbO
1.0
4.140 0.000 0.000
0.000 4.140 0.000
0.000 0.000 4.081
Li Ti Sb O
2 1 1 1
Cartesian
0.000 2.070 0.000
2.070 0.000 0.000
0.000 0.000 2.041
2.070 2.070 2.041
0.000 0.000 0.000
```

=====

Ta2AlCd after structural relaxation, computed with PBE.

Summary:
Total magnetization   0.00 μB/cell
Energy above the most stable polymorph in this dataset   0.124 eV per atom
Energy relative to the elements   14 kJ per mole of atoms

Structure (POSCAR):
```
Ta2AlCd
1.0
1.467 0.847 9.881
-1.467 0.847 9.881
0.000 -1.693 9.881
Ta Al Cd
2 1 1
Cartesian
0.000 0.000 7.297
0.000 0.000 22.346
0.000 0.000 14.822
0.000 0.000 0.000
```

=====

LiTlSi after structural relaxation, computed with PBE.

Summary:
Formation energy without anion corrections   0.862 eV per atom
Total magnetization   0.00 μB/cell

Structure (POSCAR):
```
LiTlSi
1.0
4.969 0.000 0.000
-2.485 4.303 0.000
0.000 0.000 10.084
Li Tl Si
2 2 2
Cartesian
0.000 2.869 2.521
2.485 1.434 7.563
0.000 0.000 2.521
0.000 0.000 7.563
0.000 0.000 0.000
0.000 0.000 5.042
```